9
Lattice="5.273 0.112 -0.038 2.733 4.734 -0.086 -0.062 -0.095 5.873" Properties=species:S:1:pos:R:3 comment="PBE+U BaNpNiO6, optimized geometry" vol_a3_per_atom=16.1 total_energy_ev_per_atom=-7.399 pbc="T T T"
Ba 2.776 4.578 5.787
Np 2.654 1.558 2.895
Ni 5.308 3.182 2.853
O 6.244 1.917 1.740
O 4.675 4.664 3.889
O 4.211 1.744 4.088
O 6.870 3.005 3.970
O 3.710 2.988 1.816
O 3.274 0.116 1.705